# 1
A plane-wave DFT calculation with GGA-PBE was carried out for an optimized crystal structure of RbLuAs2S7. Values from VASP.

Quantum ESPRESSO input file:
```
&SYSTEM
  ibrav = 0, nat = 11, ntyp = 4
/
ATOMIC_SPECIES
Rb 85.47 Rb.upf
Lu 174.97 Lu.upf
As 74.92 As.upf
S 32.06 S.upf
ATOMIC_POSITIONS crystal
Rb 0.0000 0.0000 0.0000
Lu 0.3998 0.6002 0.5000
As 0.5510 0.0521 0.4096
As 0.9479 0.4490 0.5904
S 0.0274 0.5761 0.3249
S 0.2130 0.4641 0.7970
S 0.4239 0.9726 0.6751
S 0.4449 0.2810 0.2487
S 0.5359 0.7870 0.2030
S 0.7190 0.5551 0.7513
S 0.8834 0.1166 0.5000
CELL_PARAMETERS angstrom
4.6020 -5.1871 0.0000
4.6020 5.1871 0.0000
-1.0408 0.0000 6.6419
```

- Raw total energy: -4.6516 eV/atom

***

# 2
A plane-wave DFT calculation with GGA-PBE was carried out for an optimized crystal structure of RbLuTe3As. Values from VASP.

Quantum ESPRESSO input file:
```
&SYSTEM
  ibrav = 0, nat = 12, ntyp = 4
/
ATOMIC_SPECIES
Rb 85.47 Rb.upf
Lu 174.97 Lu.upf
Te 127.60 Te.upf
As 74.92 As.upf
ATOMIC_POSITIONS crystal
Rb 0.2407 0.7593 0.7500
Rb 0.7593 0.2407 0.2500
Lu 0.0000 0.0000 0.0000
Lu 0.0000 0.0000 0.5000
Te 0.0741 0.9259 0.2500
Te 0.3761 0.6239 0.0347
Te 0.3761 0.6239 0.4653
Te 0.6239 0.3761 0.5347
Te 0.6239 0.3761 0.9653
Te 0.9259 0.0741 0.7500
As 0.4516 0.5484 0.2500
As 0.5484 0.4516 0.7500
CELL_PARAMETERS angstrom
2.1870 -8.5138 0.0000
2.1870 8.5138 0.0000
0.0000 0.0000 11.5192
```

- Raw total energy: -3.9342 eV/atom

***

# 3
A plane-wave DFT calculation with GGA-PBE was carried out for an optimized crystal structure of Lu2ReAs. Values from VASP.

Quantum ESPRESSO input file:
```
&SYSTEM
  ibrav = 0, nat = 4, ntyp = 3
/
ATOMIC_SPECIES
Lu 174.97 Lu.upf
Re 186.21 Re.upf
As 74.92 As.upf
ATOMIC_POSITIONS crystal
Lu 0.0000 0.0000 0.0000
Lu 0.2500 0.2500 0.2500
Re 0.7500 0.7500 0.7500
As 0.5000 0.5000 0.5000
CELL_PARAMETERS angstrom
0.0000 3.3622 3.3622
3.3622 0.0000 3.3622
3.3622 3.3622 0.0000
```

- Raw total energy: -6.4641 eV/atom

***

# 4
A plane-wave DFT calculation with GGA-PBE was carried out for an optimized crystal structure of LuRe2As. Values from VASP.

Quantum ESPRESSO input file:
```
&SYSTEM
  ibrav = 0, nat = 4, ntyp = 3
/
ATOMIC_SPECIES
Lu 174.97 Lu.upf
Re 186.21 Re.upf
As 74.92 As.upf
ATOMIC_POSITIONS crystal
Lu 0.0000 0.0000 0.0000
Re 0.2500 0.2500 0.2500
Re 0.5000 0.5000 0.5000
As 0.7500 0.7500 0.7500
CELL_PARAMETERS angstrom
0.0000 3.2512 3.2512
3.2512 0.0000 3.2512
3.2512 3.2512 0.0000
```

- Raw total energy: -8.1847 eV/atom

***

# 5
A plane-wave DFT calculation with GGA-PBE was carried out for an optimized crystal structure of LuReAs. Values from VASP.

Quantum ESPRESSO input file:
```
&SYSTEM
  ibrav = 0, nat = 3, ntyp = 3
/
ATOMIC_SPECIES
Lu 174.97 Lu.upf
Re 186.21 Re.upf
As 74.92 As.upf
ATOMIC_POSITIONS crystal
Lu 0.0000 0.0000 0.0000
Re 0.5000 0.5000 0.5000
As 0.2500 0.2500 0.2500
CELL_PARAMETERS angstrom
0.0000 3.1097 3.1097
3.1097 0.0000 3.1097
3.1097 3.1097 0.0000
```

- Raw total energy: -7.0865 eV/atom

***

# 6
A plane-wave DFT calculation with GGA-PBE was carried out for an optimized crystal structure of LuReAs2. Values from VASP.

Quantum ESPRESSO input file:
```
&SYSTEM
  ibrav = 0, nat = 4, ntyp = 3
/
ATOMIC_SPECIES
Lu 174.97 Lu.upf
Re 186.21 Re.upf
As 74.92 As.upf
ATOMIC_POSITIONS crystal
Lu 0.0000 0.0000 0.0000
Re 0.7500 0.7500 0.7500
As 0.2500 0.2500 0.2500
As 0.5000 0.5000 0.5000
CELL_PARAMETERS angstrom
0.0000 3.2982 3.2982
3.2982 0.0000 3.2982
3.2982 3.2982 0.0000
```

- Raw total energy: -6.3368 eV/atom